# ScTaHg2 | Alexandria via LeMat-Bulk | GGA-PBE | optimized geometry
data_ScTaHg2
_cell_length_a 3.223
_cell_length_b 4.113
_cell_length_c 6.233
_cell_angle_alpha 90.00
_cell_angle_beta 90.00
_cell_angle_gamma 90.00
_space_group_name_H-M_alt 'P m m 2'
_space_group_IT_number 25
_space_group_name_Hall 'P 2 -2'
loop_
_atom_site_label
_atom_site_type_symbol
_atom_site_fract_x
_atom_site_fract_y
_atom_site_fract_z
_atom_site_occupancy
Sc1 Sc 0.000 0.000 0.000 1
Ta1 Ta 0.500 0.500 0.253 1
Hg1 Hg 0.000 0.000 0.483 1
Hg2 Hg 0.500 0.500 0.756 1
# - Excess energy over the best structure of this formula in the dataset: 0.097 eV per atom
# - Calculated formation energy: 0.14 eV/atom

# Er3ZnSi3 | Alexandria via LeMat-Bulk | GGA-PBE | optimized geometry
data_Er3ZnSi3
_cell_length_a 3.895
_cell_length_b 4.155
_cell_length_c 17.689
_cell_angle_alpha 90.00
_cell_angle_beta 90.00
_cell_angle_gamma 90.00
_space_group_name_H-M_alt 'I m m 2'
_space_group_IT_number 44
_space_group_name_Hall 'I 2 -2'
loop_
_atom_site_label
_atom_site_type_symbol
_atom_site_fract_x
_atom_site_fract_y
_atom_site_fract_z
_atom_site_occupancy
Er1 Er 0.000 0.000 0.000 1
Er2 Er 0.000 0.000 0.371 1
Er3 Er 0.000 0.500 0.691 1
Zn1 Zn 0.000 0.500 0.119 1
Si1 Si 0.000 0.000 0.540 1
Si2 Si 0.000 0.000 0.834 1
Si3 Si 0.000 0.500 0.252 1
# - Calculated total energy: -5.151 eV per atom

# BaAl2Ir | Alexandria via LeMat-Bulk | GGA-PBE | optimized geometry
data_BaAl2Ir
_cell_length_a 3.226
_cell_length_b 3.226
_cell_length_c 8.142
_cell_angle_alpha 90.00
_cell_angle_beta 90.00
_cell_angle_gamma 90.00
_space_group_name_H-M_alt 'P 4/m m m'
_space_group_IT_number 123
_space_group_name_Hall '-P 4 2'
loop_
_atom_site_label
_atom_site_type_symbol
_atom_site_fract_x
_atom_site_fract_y
_atom_site_fract_z
_atom_site_occupancy
Ba1 Ba 0.000 0.000 0.000 1
Al1 Al 0.500 0.500 0.331 1
Ir1 Ir 0.000 0.000 0.500 1
# - Calculated formation energy: -0.30 eV/atom

# TaInSi2P | Alexandria via LeMat-Bulk | GGA-PBE | optimized geometry
data_TaInSi2P
_cell_length_a 4.574
_cell_length_b 4.574
_cell_length_c 4.744
_cell_angle_alpha 90.00
_cell_angle_beta 90.00
_cell_angle_gamma 90.00
_space_group_name_H-M_alt 'P 4/m m m'
_space_group_IT_number 123
_space_group_name_Hall '-P 4 2'
loop_
_atom_site_label
_atom_site_type_symbol
_atom_site_fract_x
_atom_site_fract_y
_atom_site_fract_z
_atom_site_occupancy
Ta1 Ta 0.000 0.000 0.000 1
In1 In 0.500 0.500 0.000 1
Si1 Si 0.000 0.500 0.500 1
P1 P 0.000 0.000 0.500 1
# - Calculated total energy: -5.434 eV per atom